a:
# PBE SrZrTc2, optimized geometry
data_SrZrTc2
_chemical_formula_sum 'Sr1 Zr1 Tc2'
_space_group_name_H-M_alt 'P 1'
_space_group_IT_number 1
_cell_length_a 9.2513
_cell_length_b 9.2513
_cell_length_c 9.2513
_cell_angle_alpha 20.22
_cell_angle_beta 20.22
_cell_angle_gamma 20.22
loop_
_space_group_symop_operation_xyz
'x,y,z'
loop_
_atom_site_label
_atom_site_type_symbol
_atom_site_fract_x
_atom_site_fract_y
_atom_site_fract_z
Sr1 Sr 0.0000 0.0000 0.0000
Zr1 Zr 0.5000 0.5000 0.5000
Tc1 Tc 0.2399 0.2399 0.2399
Tc2 Tc 0.7601 0.7601 0.7601
# * total magnetization: 0.00 μB/f.u.
# * D(E_F): 1.534 states/eV/atom
# * crystal system: trigonal

=====

b:
# PBE SrZrTc2, optimized geometry
data_SrZrTc2
_chemical_formula_sum 'Sr1 Zr1 Tc2'
_space_group_name_H-M_alt 'P 1'
_space_group_IT_number 1
_cell_length_a 5.7422
_cell_length_b 5.7422
_cell_length_c 5.7422
_cell_angle_alpha 139.16
_cell_angle_beta 139.16
_cell_angle_gamma 59.13
loop_
_space_group_symop_operation_xyz
'x,y,z'
loop_
_atom_site_label
_atom_site_type_symbol
_atom_site_fract_x
_atom_site_fract_y
_atom_site_fract_z
Sr1 Sr 0.0000 0.0000 0.0000
Zr1 Zr 0.7500 0.2500 0.5000
Tc1 Tc 0.2500 0.7500 0.5000
Tc2 Tc 0.5000 0.5000 0.0000
# * total magnetization: 0.29 μB/f.u.
# * D(E_F): 1.110 states/eV/atom
# * crystal system: tetragonal

=====

Which structure wins on stability? a wins.

=====

a:
# PBE SrZrTc2, optimized geometry
data_SrZrTc2
_chemical_formula_sum 'Sr1 Zr1 Tc2'
_space_group_name_H-M_alt 'P 1'
_space_group_IT_number 1
_cell_length_a 5.4225
_cell_length_b 5.4225
_cell_length_c 5.6556
_cell_angle_alpha 105.80
_cell_angle_beta 105.80
_cell_angle_gamma 34.99
loop_
_space_group_symop_operation_xyz
'x,y,z'
loop_
_atom_site_label
_atom_site_type_symbol
_atom_site_fract_x
_atom_site_fract_y
_atom_site_fract_z
Sr1 Sr 0.0000 0.0000 0.0000
Zr1 Zr 0.2002 0.2002 0.6388
Tc1 Tc 0.4744 0.4744 0.4756
Tc2 Tc 0.7880 0.7880 0.3354
# * total magnetization: 0.00 μB/f.u.
# * D(E_F): 1.051 states/eV/atom
# * crystal system: monoclinic

=====

b:
# PBE SrZrTc2, optimized geometry
data_SrZrTc2
_chemical_formula_sum 'Sr1 Zr1 Tc2'
_space_group_name_H-M_alt 'P 1'
_space_group_IT_number 1
_cell_length_a 3.1530
_cell_length_b 3.1530
_cell_length_c 8.9112
_cell_angle_alpha 90.00
_cell_angle_beta 90.00
_cell_angle_gamma 90.00
loop_
_space_group_symop_operation_xyz
'x,y,z'
loop_
_atom_site_label
_atom_site_type_symbol
_atom_site_fract_x
_atom_site_fract_y
_atom_site_fract_z
Sr1 Sr 0.0000 0.0000 0.0000
Zr1 Zr 0.5000 0.5000 0.6319
Tc1 Tc 0.0000 0.0000 0.4200
Tc2 Tc 0.5000 0.5000 0.2739
# * total magnetization: 0.00 μB/f.u.
# * D(E_F): 1.280 states/eV/atom
# * crystal system: tetragonal

=====

c:
# PBE SrZrTc2, optimized geometry
data_SrZrTc2
_chemical_formula_sum 'Sr1 Zr1 Tc2'
_space_group_name_H-M_alt 'P 1'
_space_group_IT_number 1
_cell_length_a 4.6145
_cell_length_b 4.6145
_cell_length_c 6.6035
_cell_angle_alpha 96.73
_cell_angle_beta 96.73
_cell_angle_gamma 40.69
loop_
_space_group_symop_operation_xyz
'x,y,z'
loop_
_atom_site_label
_atom_site_type_symbol
_atom_site_fract_x
_atom_site_fract_y
_atom_site_fract_z
Sr1 Sr 0.0000 0.0000 0.0000
Zr1 Zr 0.5000 0.5000 0.5000
Tc1 Tc 0.2366 0.2366 0.6687
Tc2 Tc 0.7634 0.7634 0.3313
# * total magnetization: 0.01 μB/f.u.
# * D(E_F): 1.559 states/eV/atom
# * crystal system: monoclinic

=====

d:
# PBE SrZrTc2, optimized geometry
data_SrZrTc2
_chemical_formula_sum 'Sr1 Zr1 Tc2'
_space_group_name_H-M_alt 'P 1'
_space_group_IT_number 1
_cell_length_a 5.5415
_cell_length_b 5.5415
_cell_length_c 5.5415
_cell_angle_alpha 145.04
_cell_angle_beta 123.93
_cell_angle_gamma 67.81
loop_
_space_group_symop_operation_xyz
'x,y,z'
loop_
_atom_site_label
_atom_site_type_symbol
_atom_site_fract_x
_atom_site_fract_y
_atom_site_fract_z
Sr1 Sr 0.0000 0.0000 0.0000
Zr1 Zr 0.5000 0.5000 0.0000
Tc1 Tc 0.2638 0.7638 0.5000
Tc2 Tc 0.7362 0.2362 0.5000
# * total magnetization: 0.00 μB/f.u.
# * D(E_F): 0.977 states/eV/atom
# * crystal system: orthorhombic

=====

Which structure wins on stability? b wins.

=====

a:
# PBE SrZrTc2, optimized geometry
data_SrZrTc2
_chemical_formula_sum 'Sr1 Zr1 Tc2'
_space_group_name_H-M_alt 'P 1'
_space_group_IT_number 1
_cell_length_a 3.3592
_cell_length_b 4.5863
_cell_length_c 5.0889
_cell_angle_alpha 90.00
_cell_angle_beta 90.00
_cell_angle_gamma 90.00
loop_
_space_group_symop_operation_xyz
'x,y,z'
loop_
_atom_site_label
_atom_site_type_symbol
_atom_site_fract_x
_atom_site_fract_y
_atom_site_fract_z
Sr1 Sr 0.0000 0.0000 0.0000
Zr1 Zr 0.5000 0.0000 0.5000
Tc1 Tc 0.0000 0.5000 0.5000
Tc2 Tc 0.5000 0.5000 0.0000
# * total magnetization: 0.00 μB/f.u.
# * D(E_F): 0.987 states/eV/atom
# * crystal system: orthorhombic

=====

b:
# PBE SrZrTc2, optimized geometry
data_SrZrTc2
_chemical_formula_sum 'Sr1 Zr1 Tc2'
_space_group_name_H-M_alt 'P 1'
_space_group_IT_number 1
_cell_length_a 5.5899
_cell_length_b 5.5899
_cell_length_c 2.8666
_cell_angle_alpha 100.77
_cell_angle_beta 100.77
_cell_angle_gamma 111.05
loop_
_space_group_symop_operation_xyz
'x,y,z'
loop_
_atom_site_label
_atom_site_type_symbol
_atom_site_fract_x
_atom_site_fract_y
_atom_site_fract_z
Sr1 Sr 0.0000 0.0000 0.0000
Zr1 Zr 0.5000 0.5000 0.0000
Tc1 Tc 0.0000 0.5000 0.5000
Tc2 Tc 0.5000 0.0000 0.5000
# * total magnetization: 0.00 μB/f.u.
# * D(E_F): 1.000 states/eV/atom
# * crystal system: monoclinic

=====

c:
# PBE SrZrTc2, optimized geometry
data_SrZrTc2
_chemical_formula_sum 'Sr1 Zr1 Tc2'
_space_group_name_H-M_alt 'P 1'
_space_group_IT_number 1
_cell_length_a 3.1827
_cell_length_b 3.9784
_cell_length_c 7.5264
_cell_angle_alpha 90.00
_cell_angle_beta 96.97
_cell_angle_gamma 90.00
loop_
_space_group_symop_operation_xyz
'x,y,z'
loop_
_atom_site_label
_atom_site_type_symbol
_atom_site_fract_x
_atom_site_fract_y
_atom_site_fract_z
Sr1 Sr 0.0000 0.0000 0.0000
Zr1 Zr 0.3619 0.5000 0.6203
Tc1 Tc 0.5292 0.5000 0.3013
Tc2 Tc 0.8880 0.0000 0.4308
# * total magnetization: 0.00 μB/f.u.
# * D(E_F): 0.777 states/eV/atom
# * crystal system: monoclinic

=====

d:
# PBE SrZrTc2, optimized geometry
data_SrZrTc2
_chemical_formula_sum 'Sr1 Zr1 Tc2'
_space_group_name_H-M_alt 'P 1'
_space_group_IT_number 1
_cell_length_a 4.7870
_cell_length_b 4.7870
_cell_length_c 4.7870
_cell_angle_alpha 60.00
_cell_angle_beta 60.00
_cell_angle_gamma 60.00
loop_
_space_group_symop_operation_xyz
'x,y,z'
loop_
_atom_site_label
_atom_site_type_symbol
_atom_site_fract_x
_atom_site_fract_y
_atom_site_fract_z
Sr1 Sr 0.0000 0.0000 0.0000
Zr1 Zr 0.7500 0.7500 0.7500
Tc1 Tc 0.2500 0.2500 0.2500
Tc2 Tc 0.5000 0.5000 0.5000
# * total magnetization: 0.00 μB/f.u.
# * D(E_F): 1.467 states/eV/atom
# * crystal system: cubic

=====

Which structure wins on stability? c wins.

=====

a:
# PBE SrZrTc2, optimized geometry
data_SrZrTc2
_chemical_formula_sum 'Sr1 Zr1 Tc2'
_space_group_name_H-M_alt 'P 1'
_space_group_IT_number 1
_cell_length_a 4.8345
_cell_length_b 4.8345
_cell_length_c 4.8345
_cell_angle_alpha 60.00
_cell_angle_beta 60.00
_cell_angle_gamma 60.00
loop_
_space_group_symop_operation_xyz
'x,y,z'
loop_
_atom_site_label
_atom_site_type_symbol
_atom_site_fract_x
_atom_site_fract_y
_atom_site_fract_z
Sr1 Sr 0.0000 0.0000 0.0000
Zr1 Zr 0.5000 0.5000 0.5000
Tc1 Tc 0.2500 0.2500 0.2500
Tc2 Tc 0.7500 0.7500 0.7500
# * total magnetization: 0.00 μB/f.u.
# * D(E_F): 1.287 states/eV/atom
# * crystal system: cubic

=====

b:
# PBE SrZrTc2, optimized geometry
data_SrZrTc2
_chemical_formula_sum 'Sr1 Zr1 Tc2'
_space_group_name_H-M_alt 'P 1'
_space_group_IT_number 1
_cell_length_a 5.9560
_cell_length_b 5.9560
_cell_length_c 5.9560
_cell_angle_alpha 148.00
_cell_angle_beta 130.44
_cell_angle_gamma 60.21
loop_
_space_group_symop_operation_xyz
'x,y,z'
loop_
_atom_site_label
_atom_site_type_symbol
_atom_site_fract_x
_atom_site_fract_y
_atom_site_fract_z
Sr1 Sr 0.0000 0.0000 0.0000
Zr1 Zr 0.7176 0.2176 0.5000
Tc1 Tc 0.2683 0.7683 0.5000
Tc2 Tc 0.4467 0.4467 0.0000
# * total magnetization: 0.00 μB/f.u.
# * D(E_F): 1.209 states/eV/atom
# * crystal system: orthorhombic

=====

Which structure wins on stability? b wins.

=====

a:
# PBE Sr2ZrTc, optimized geometry
data_Sr2ZrTc
_chemical_formula_sum 'Sr2 Zr1 Tc1'
_space_group_name_H-M_alt 'P 1'
_space_group_IT_number 1
_cell_length_a 5.2600
_cell_length_b 5.2600
_cell_length_c 5.2600
_cell_angle_alpha 119.88
_cell_angle_beta 119.88
_cell_angle_gamma 90.20
loop_
_space_group_symop_operation_xyz
'x,y,z'
loop_
_atom_site_label
_atom_site_type_symbol
_atom_site_fract_x
_atom_site_fract_y
_atom_site_fract_z
Sr1 Sr 0.0000 0.0000 0.0000
Sr2 Sr 0.7500 0.2500 0.5000
Zr1 Zr 0.2500 0.7500 0.5000
Tc1 Tc 0.5000 0.5000 0.0000
# * total magnetization: 0.00 μB/f.u.
# * D(E_F): 0.934 states/eV/atom
# * crystal system: tetragonal

=====

b:
# PBE Sr2ZrTc, optimized geometry
data_Sr2ZrTc
_chemical_formula_sum 'Sr2 Zr1 Tc1'
_space_group_name_H-M_alt 'P 1'
_space_group_IT_number 1
_cell_length_a 3.1648
_cell_length_b 5.3704
_cell_length_c 6.1485
_cell_angle_alpha 90.00
_cell_angle_beta 90.00
_cell_angle_gamma 90.00
loop_
_space_group_symop_operation_xyz
'x,y,z'
loop_
_atom_site_label
_atom_site_type_symbol
_atom_site_fract_x
_atom_site_fract_y
_atom_site_fract_z
Sr1 Sr 0.0000 0.0000 0.2394
Sr2 Sr 0.0000 0.0000 0.7606
Zr1 Zr 0.5000 0.5000 0.5000
Tc1 Tc 0.5000 0.5000 0.0000
# * total magnetization: 0.00 μB/f.u.
# * D(E_F): 1.202 states/eV/atom
# * crystal system: orthorhombic

=====

Which structure wins on stability? a wins.